P | Compound: Sb3Rh
Source: Alexandria
Functional: PBEsol
Structure: optimized geometry

```
4
Lattice="3.202 0.000 0.000 0.000 5.153 0.000 -1.601 -2.577 5.752" Properties=species:S:1:pos:R:3 pbc="T T T"
Rh 0.000 5.011 0.000
Sb 1.601 2.932 0.000
Sb 0.000 3.329 3.758
Sb 1.601 0.752 1.993
```

Calculated values
D(E_F) in states/eV per cell: 2.5

---

Q | Compound: Sb3Rh
Source: Alexandria
Functional: PBEsol
Structure: optimized geometry

```
4
Lattice="-2.388 1.513 1.450 -1.329 -2.735 0.666 4.725 -0.321 8.115" Properties=species:S:1:pos:R:3 pbc="T T T"
Rh 4.646 -0.315 7.979
Sb 1.465 -1.512 3.989
Sb -1.176 -0.658 2.230
Sb 2.375 0.514 6.854
```

Calculated values
D(E_F) in states/eV per cell: 1.9

---

Least stable: Q

---

P | Compound: Y2PSe
Source: Alexandria
Functional: PBEsol
Structure: optimized geometry

```
4
Lattice="3.991 0.000 0.000 0.000 3.991 0.000 0.000 0.000 5.626" Properties=species:S:1:pos:R:3 pbc="T T T"
Y 0.000 0.000 2.813
Y 1.996 1.996 0.000
P 0.000 0.000 0.000
Se 1.996 1.996 2.813
```

Calculated values
D(E_F) in states/eV per cell: 1.3

---

Q | Compound: Y2PSe
Source: Alexandria
Functional: PBEsol
Structure: optimized geometry

```
4
Lattice="-3.843 -0.625 0.465 0.773 -3.359 1.871 1.689 4.946 4.072" Properties=species:S:1:pos:R:3 pbc="T T T"
P -1.535 -1.992 1.168
Se 0.463 -0.202 3.556
Y 0.000 0.000 0.000
Y -1.845 1.164 2.853
```

Calculated values
D(E_F) in states/eV per cell: 3.3

---

Least stable: Q

---

P | Compound: TaMoW2
Source: Alexandria
Functional: PBEsol
Structure: optimized geometry

```
4
Lattice="-0.772 1.563 2.650 -4.296 -1.184 -0.552 3.250 -3.908 1.352" Properties=species:S:1:pos:R:3 pbc="T T T"
Mo -2.530 0.170 1.062
W -1.822 -3.506 3.436
W -1.791 -2.447 0.922
Ta -0.026 -1.085 2.531
```

Calculated values
D(E_F) in states/eV per cell: 1.6

---

Q | Compound: TaMoW2
Source: Alexandria
Functional: PBEsol
Structure: optimized geometry

```
4
Lattice="-0.231 2.606 0.870 -1.012 -1.717 1.906 8.074 -0.549 3.791" Properties=species:S:1:pos:R:3 pbc="T T T"
Mo 4.077 -0.277 1.914
W 8.032 -0.547 3.771
W 5.424 0.033 4.226
Ta 1.408 0.307 2.341
```

Calculated values
D(E_F) in states/eV per cell: 1.8

---

Least stable: Q

---

P | Compound: ZrIrPb2
Source: Alexandria
Functional: PBEsol
Structure: optimized geometry

```
4
Lattice="-2.536 -3.865 1.740 2.081 -4.478 0.098 1.263 -2.042 4.316" Properties=species:S:1:pos:R:3 pbc="T T T"
Ir 0.404 -5.192 3.077
Pb 0.000 0.000 0.000
Pb 0.607 -7.789 4.615
Zr 0.202 -2.596 1.538
```

Calculated values
D(E_F) in states/eV per cell: 4.7

---

Q | Compound: ZrIrPb2
Source: Alexandria
Functional: PBEsol
Structure: optimized geometry

```
4
Lattice="3.284 0.000 0.000 1.642 2.844 0.000 1.642 0.948 9.076" Properties=species:S:1:pos:R:3 pbc="T T T"
Ir 0.000 0.000 0.000
Pb 1.642 0.948 2.052
Pb 4.926 2.844 7.024
Zr 3.284 1.896 4.538
```

Calculated values
D(E_F) in states/eV per cell: 4.1

---

Least stable: Q

---

P | Compound: Mg3W
Source: Alexandria
Functional: PBEsol
Structure: optimized geometry

```
4
Lattice="-2.407 0.745 -1.222 -1.637 -4.580 0.431 -2.081 1.198 4.830" Properties=species:S:1:pos:R:3 pbc="T T T"
Mg -1.438 -1.934 1.653
Mg -2.279 0.992 1.885
Mg -3.763 -0.915 3.646
W -0.032 0.018 0.074
```

Calculated values
D(E_F) in states/eV per cell: 3.2

---

Q | Compound: Mg3W
Source: Alexandria
Functional: PBEsol
Structure: optimized geometry

```
4
Lattice="-1.826 -1.570 1.466 -0.508 -3.293 -4.161 3.876 -1.321 3.413" Properties=species:S:1:pos:R:3 pbc="T T T"
Mg 1.025 -1.446 2.440
Mg -1.167 -2.432 -1.348
Mg 1.684 -2.307 -0.374
W 0.000 0.000 0.000
```

Calculated values
D(E_F) in states/eV per cell: 2.0

---

Least stable: P

---

P | Compound: Mg5Pt3
Source: Alexandria
Functional: PBEsol
Structure: optimized geometry

```
8
Lattice="-2.181 3.309 -1.704 -4.768 -2.154 1.921 1.620 3.246 4.230" Properties=species:S:1:pos:R:3 pbc="T T T"
Mg 0.000 0.000 0.000
Mg 0.810 1.623 2.115
Mg -2.384 -1.077 0.960
Mg -1.971 1.960 0.868
Mg -3.358 2.441 3.579
Pt -1.574 0.546 3.076
Pt -4.401 0.732 1.596
Pt -0.927 3.669 2.852
```

Calculated values
D(E_F) in states/eV per cell: 2.4

---

Q | Compound: Mg5Pt3
Source: Alexandria
Functional: PBEsol
Structure: optimized geometry

```
16
Lattice="-1.553 -0.207 -5.105 -2.695 -7.202 1.112 -4.653 6.112 1.167" Properties=species:S:1:pos:R:3 pbc="T T T"
Mg -2.354 1.407 -3.531
Mg -3.852 4.498 -0.407
Mg -6.634 -0.967 -2.132
Mg -2.394 -5.413 -0.449
Mg -3.347 -2.764 1.130
Mg -4.124 -2.868 -1.422
Mg -4.000 1.674 1.149
Mg -4.777 1.570 -1.404
Mg -2.266 -0.330 -0.694
Mg -1.854 -1.996 -3.545
Pt -2.218 2.352 -0.817
Pt -3.988 3.553 -3.121
Pt -4.847 -0.713 0.107
Pt -2.800 -4.526 -3.154
Pt -4.054 -0.584 -2.933
Pt -1.448 -2.884 -0.839
```

Calculated values
D(E_F) in states/eV per cell: 5.4

---

Least stable: P